Entry 1:
{
  "formula": "La3MnTc",
  "functional": "PBE-GGA",
  "state": "optimized geometry",
  "cell": [[5.166, 0.000, 0.000], [0.000, 5.166, 0.000], [0.000, 0.000, 5.166]],
  "species": ["La", "La", "La", "Mn", "Tc"],
  "fractional_positions": [[0.000, 0.000, 0.500], [0.000, 0.500, 0.000], [0.500, 0.000, 0.000], [0.000, 0.000, 0.000], [0.500, 0.500, 0.500]],
  "ef_ev_per_atom": 0.652,
  "dos_ef_per_ev_cell": 9.03,
  "magnetic_moment_mub_per_cell": 1.79,
  "final_energy_ev_per_cell": -31.1,
  "sg": "No. 221"
}



Entry 2:
{
  "formula": "AgSnGe2S6",
  "functional": "PBE-GGA",
  "state": "optimized geometry",
  "cell": [[6.410, -5.637, 0.000], [6.410, 5.637, 0.000], [-2.137, 0.000, 6.398]],
  "species": ["Ag", "Ag", "Sn", "Sn", "Ge", "Ge", "Ge", "Ge", "S", "S", "S", "S", "S", "S", "S", "S", "S", "S", "S", "S"],
  "fractional_positions": [[0.125, 0.875, 0.750], [0.875, 0.125, 0.250], [0.278, 0.722, 0.250], [0.722, 0.278, 0.750], [0.194, 0.379, 0.751], [0.379, 0.194, 0.251], [0.621, 0.806, 0.749], [0.806, 0.621, 0.249], [0.016, 0.188, 0.637], [0.074, 0.618, 0.862], [0.188, 0.016, 0.137], [0.321, 0.414, 0.504], [0.382, 0.926, 0.638], [0.414, 0.321, 0.004], [0.586, 0.679, 0.996], [0.618, 0.074, 0.362], [0.679, 0.586, 0.496], [0.812, 0.984, 0.863], [0.926, 0.382, 0.138], [0.984, 0.812, 0.363]],
  "dos_ef_per_ev_cell": 12.83,
  "magnetic_moment_mub_per_cell": 0.00,
  "final_energy_ev_per_cell": -85.8,
  "sg": "No. 15"
}



Entry 3:
{
  "formula": "MnBiCl6",
  "functional": "PBE-GGA",
  "state": "optimized geometry",
  "cell": [[3.228, 1.863, 5.855], [-3.228, 1.863, 5.855], [0.000, -3.727, 5.855]],
  "species": ["Mn", "Bi", "Cl", "Cl", "Cl", "Cl", "Cl", "Cl"],
  "fractional_positions": [[0.000, 0.000, 0.000], [0.500, 0.500, 0.500], [0.076, 0.384, 0.774], [0.226, 0.924, 0.616], [0.384, 0.774, 0.076], [0.616, 0.226, 0.924], [0.774, 0.076, 0.384], [0.924, 0.616, 0.226]],
  "de_polymorph_mev_per_atom": 9.1,
  "dos_ef_per_ev_cell": 4.31,
  "magnetic_moment_mub_per_cell": 4.00,
  "final_energy_ev_per_cell": -31.3,
  "sg": "No. 148"
}



Entry 4:
{
  "formula": "PaSnCl6",
  "functional": "PBE-GGA",
  "state": "optimized geometry",
  "cell": [[4.163, -5.630, 0.000], [4.163, 5.630, 0.000], [-2.292, 0.000, 7.176]],
  "species": ["Pa", "Sn", "Cl", "Cl", "Cl", "Cl", "Cl", "Cl"],
  "fractional_positions": [[0.000, 0.000, 0.000], [0.000, 0.000, 0.500], [0.028, 0.712, 0.730], [0.258, 0.258, 0.860], [0.288, 0.972, 0.270], [0.712, 0.028, 0.730], [0.742, 0.742, 0.140], [0.972, 0.288, 0.270]],
  "de_polymorph_mev_per_atom": 30.5,
  "magnetic_moment_mub_per_cell": 1.02,
  "final_energy_ev_per_cell": -36.7,
  "sg": "No. 12"
}



Entry 5:
{
  "formula": "Ti3HN3",
  "functional": "PBE-GGA",
  "state": "optimized geometry",
  "cell": [[6.135, 0.000, 0.000], [-3.068, 5.313, 0.000], [0.000, 0.000, 4.191]],
  "species": ["Ti", "Ti", "Ti", "Ti", "Ti", "Ti", "H", "H", "N", "N", "N", "N", "N", "N"],
  "fractional_positions": [[0.040, 0.682, 0.250], [0.318, 0.358, 0.250], [0.358, 0.040, 0.750], [0.642, 0.960, 0.250], [0.682, 0.642, 0.750], [0.960, 0.318, 0.750], [0.333, 0.667, 0.250], [0.667, 0.333, 0.750], [0.045, 0.693, 0.750], [0.307, 0.351, 0.750], [0.351, 0.045, 0.250], [0.649, 0.955, 0.750], [0.693, 0.649, 0.250], [0.955, 0.307, 0.250]],
  "dos_ef_per_ev_cell": 3.72,
  "magnetic_moment_mub_per_cell": 0.00,
  "final_energy_ev_per_cell": -123.4,
  "sg": "No. 176"
}



Entry 6:
{
  "formula": "SbMoOs2",
  "functional": "PBE-GGA",
  "state": "optimized geometry",
  "cell": [[4.699, -1.474, 0.000], [4.699, 1.474, 0.000], [-0.733, 0.000, 4.724]],
  "species": ["Sb", "Mo", "Os", "Os"],
  "fractional_positions": [[0.000, 0.000, 0.000], [0.761, 0.761, 0.255], [0.234, 0.234, 0.711], [0.496, 0.496, 0.512]],
  "dos_ef_per_ev_cell": 3.64,
  "magnetic_moment_mub_per_cell": 0.00,
  "final_energy_ev_per_cell": -35.7,
  "sg": "No. 8"
}



Entry 7:
{
  "formula": "BiH2I",
  "functional": "PBE-GGA",
  "state": "optimized geometry",
  "cell": [[-2.669, 2.669, 6.044], [2.669, -2.669, 6.044], [2.669, 2.669, -6.044]],
  "species": ["Bi", "Bi", "H", "H", "H", "H", "I", "I"],
  "fractional_positions": [[0.375, 0.625, 0.750], [0.625, 0.375, 0.250], [0.000, 0.500, 0.500], [0.500, 0.000, 0.000], [0.500, 0.500, 0.000], [0.500, 0.500, 0.500], [0.125, 0.875, 0.250], [0.875, 0.125, 0.750]],
  "de_polymorph_mev_per_atom": 401.3,
  "dos_ef_per_ev_cell": 0.47,
  "magnetic_moment_mub_per_cell": 0.00,
  "final_energy_ev_per_cell": -21.9,
  "sg": "No. 141"
}



Entry 8:
{
  "formula": "TaInFe2",
  "functional": "PBE-GGA",
  "state": "optimized geometry",
  "cell": [[-3.486, 3.486, 2.782], [3.486, -3.486, 2.782], [3.486, 3.486, -2.782]],
  "species": ["Ta", "Ta", "In", "In", "Fe", "Fe", "Fe", "Fe"],
  "fractional_positions": [[0.000, 0.000, 0.000], [0.750, 0.250, 0.500], [0.250, 0.750, 0.500], [0.500, 0.500, 0.000], [0.098, 0.125, 0.473], [0.375, 0.902, 0.027], [0.652, 0.625, 0.527], [0.875, 0.348, 0.973]],
  "ef_ev_per_atom": 0.686,
  "dos_ef_per_ev_cell": 10.60,
  "magnetic_moment_mub_per_cell": 5.51,
  "final_energy_ev_per_cell": -57.5,
  "sg": "No. 122"
}



What did the third record say?
{
  "formula": "MnBiCl6",
  "functional": "PBE-GGA",
  "state": "optimized geometry",
  "cell": [[3.228, 1.863, 5.855], [-3.228, 1.863, 5.855], [0.000, -3.727, 5.855]],
  "species": ["Mn", "Bi", "Cl", "Cl", "Cl", "Cl", "Cl", "Cl"],
  "fractional_positions": [[0.000, 0.000, 0.000], [0.500, 0.500, 0.500], [0.076, 0.384, 0.774], [0.226, 0.924, 0.616], [0.384, 0.774, 0.076], [0.616, 0.226, 0.924], [0.774, 0.076, 0.384], [0.924, 0.616, 0.226]],
  "de_polymorph_mev_per_atom": 9.1,
  "dos_ef_per_ev_cell": 4.31,
  "magnetic_moment_mub_per_cell": 4.00,
  "final_energy_ev_per_cell": -31.3,
  "sg": "No. 148"
}



Repeat the third record exactly.
{
  "formula": "MnBiCl6",
  "functional": "PBE-GGA",
  "state": "optimized geometry",
  "cell": [[3.228, 1.863, 5.855], [-3.228, 1.863, 5.855], [0.000, -3.727, 5.855]],
  "species": ["Mn", "Bi", "Cl", "Cl", "Cl", "Cl", "Cl", "Cl"],
  "fractional_positions": [[0.000, 0.000, 0.000], [0.500, 0.500, 0.500], [0.076, 0.384, 0.774], [0.226, 0.924, 0.616], [0.384, 0.774, 0.076], [0.616, 0.226, 0.924], [0.774, 0.076, 0.384], [0.924, 0.616, 0.226]],
  "de_polymorph_mev_per_atom": 9.1,
  "dos_ef_per_ev_cell": 4.31,
  "magnetic_moment_mub_per_cell": 4.00,
  "final_energy_ev_per_cell": -31.3,
  "sg": "No. 148"
}